Entry 1:
Ce5AlHg3 | PBE-GGA | relaxed

abc: 9.5784 9.5784 6.2394
angles: 90.00 90.00 120.00
Space group P6_3/mcm (No. 193)
Asymmetric unit:
1 Ce 0.0000 0.2803 0.2500
2 Ce 0.3333 0.6667 0.0000
3 Al 0.0000 0.0000 0.0000
4 Hg 0.0000 0.3803 0.7500

Results
- Spin magnetization: 12.15 Bohr magnetons per cell
- DOS at the Fermi energy: 3.1750 states/eV/atom
- E: -4.012 eV per atom

Entry 2:
Ce3Al2Hg | PBE-GGA | relaxed

abc: 3.954 3.954 9.784
angles: 90.00 90.00 90.00
Space group P4/mmm (No. 123)
Asymmetric unit:
1 Ce 0.000 0.000 0.000
2 Ce 0.000 0.000 0.312
3 Al 0.500 0.500 0.150
4 Hg 0.500 0.500 0.500

Results
- Spin magnetization: 3.25 Bohr magnetons per cell
- DOS at the Fermi energy: 2.7677 states/eV/atom
- E: -4.518 eV per atom

Entry 3:
Ce5AlHg2 | PBE-GGA | relaxed

abc: 4.695 4.695 18.765
angles: 90.00 90.00 90.00
Space group I4/mmm (No. 139)
Asymmetric unit:
1 Ce 0.000 0.000 0.000
2 Ce 0.000 0.500 0.123
3 Al 0.000 0.000 0.500
4 Hg 0.000 0.000 0.249

Results
- Spin magnetization: 7.78 Bohr magnetons per cell
- DOS at the Fermi energy: 2.8099 states/eV/atom
- E: -4.454 eV per atom

no.,V (Å³ per cell),mass density (g/cm³)
1,496,8.905
2,153,7.325
3,414,9.062